La6ThPb | Alexandria | PBE | optimized geometry; energy relative to the elements = -0.16 eV/atom; calculated volume = 33.8 Å³ per atom; N(E_F) = 1.487 states/eV/atom
1.0
5.111 0.000 0.000
0.000 5.111 0.000
0.000 0.000 10.349
La Th Pb
6 1 1
Direct
0.000 0.000 0.000
0.000 0.000 0.500
0.000 0.500 0.248
0.000 0.500 0.752
0.500 0.000 0.248
0.500 0.000 0.752
0.500 0.500 0.000
0.500 0.500 0.500